The following is a PBE calculation of a geometry-optimized ZnCoSiIr structure, from Alexandria via LeMat-Bulk.

a = 4.130 Å, b = 4.130 Å, c = 4.130 Å
α = 60.00°, β = 60.00°, γ = 60.00°
Last column: magnetic moment on the atom in μB.
Atoms (fractional coordinates):
Zn (0.750, 0.750, 0.750)  -0.01
Ir (0.000, 0.000, 0.000)  0.02
Co (0.500, 0.500, 0.500)  0.21
Si (0.250, 0.250, 0.250)  0.00

Output
energy	-6.018	eV per atom
DOS(E_F)	1.66	states/eV/cell